# PBE InSF, optimized geometry
data_InSF
_chemical_formula_sum 'In1 S1 F1'
_cell_length_a 3.7429
_cell_length_b 3.7429
_cell_length_c 5.4441
_cell_angle_alpha 90.00
_cell_angle_beta 90.00
_cell_angle_gamma 120.00
_space_group_name_H-M_alt 'P 3 m 1'
_space_group_IT_number 156
_space_group_name_Hall 'P 3 -2"'
loop_
_atom_site_label
_atom_site_fract_x
_atom_site_fract_y
_atom_site_fract_z
In1 0.0000 0.0000 0.0000
S1 0.3333 0.6667 0.7701
F1 0.6667 0.3333 0.2066
# Energy relative to the elements, uncorrected (eV/atom): -1.289
# Calculated total energy (eV for the cell shown): -12.6
# Total magnetization (Bohr magnetons per cell): 0.0